1.
ZnCo3Sb PBE-GGA relaxed; SG = No. 221; DOS at the Fermi energy = 13.3 states/eV per cell; formation energy from raw total energies = 6.00 eV per formula unit; M_tot = 4.0 μB/f.u.; energy above the lowest structure with this stoichiometry = 0.2700 eV per atom
1.0
4.635 0.000 0.000
0.000 4.635 0.000
0.000 0.000 4.635
Sb Co Zn
1 3 1
Cartesian
0.000 0.000 0.000 Sb
0.000 2.318 0.000 Co
0.000 0.000 2.318 Co
2.318 0.000 0.000 Co
2.318 2.318 2.318 Zn

=====

2.
ZnCo2Sb PBE-GGA relaxed; SG = No. 119; DOS at the Fermi energy = 4.9 states/eV per cell; formation energy from raw total energies = 0.59 eV per formula unit; M_tot = 1.1 μB/f.u.; energy above the lowest structure with this stoichiometry = 0.1352 eV per atom
1.0
4.870 0.001 -0.005
2.102 4.393 0.005
-3.484 -2.200 2.596
Zn Co Sb
1 2 1
Cartesian
1.052 2.195 1.300 Zn
2.436 -0.001 1.295 Co
6.972 4.394 0.000 Co
3.486 2.197 0.000 Sb

=====

Q: Look up the energy above the lowest structure with this stoichiometry of the second one.
A: 0.1352 eV per atom

=====

Q: The highest DOS at the Fermi energy belongs to which entry?
A: ZnCo3Sb